Entry from Alexandria: an optimized crystal structure of ReMoPO2 (GGA+U).

Cell and atoms, written as extended XYZ:
```
5
Lattice="3.785 0.000 0.000 0.000 3.785 0.000 0.000 0.000 5.386" Properties=species:S:1:pos:R:3 pbc="T T T"
Re 0.000 0.000 0.000
Mo 1.893 1.893 2.693
O 0.000 1.893 0.000
O 1.893 0.000 0.000
P 0.000 0.000 2.693
```

## Properties
excess energy over the best structure of this formula in the dataset = 0 meV per atom
space group = P4/mmm, No. 123
E = -37.4 eV for the cell shown